[1]
VASP calculation (PBE) on a geometry-optimized MnCdIn2 structure.

Values from the calculation:
Mass density = 7.33 g/cm3
Symmetry = No. 216
Calculated total energy = -14.30 eV/cell

a b c (Å): 5.0284 5.0284 5.0284
angles (deg): 60.00 60.00 60.00
Sites, in units of the cell vectors:
Cd 0.5000 0.5000 0.5000
Mn 0.7500 0.7500 0.7500
In 0.0000 0.0000 0.0000
In 0.2500 0.2500 0.2500

=====

[2]
VASP calculation (PBE) on a geometry-optimized Ac8AlHg2 structure.

Values from the calculation:
Mass density = 8.83 g/cm3
Symmetry = No. 12
Calculated total energy = -39.04 eV/cell

a b c (Å): 5.6955 7.6937 10.5055
angles (deg): 107.08 105.73 90.00
Sites, in units of the cell vectors:
Hg 0.1768 0.7270 0.3536
Hg 0.8232 0.2730 0.6464
Ac 0.4100 0.5403 0.8200
Ac 0.9793 0.2224 0.9586
Ac 0.3336 0.0168 0.6671
Ac 0.1987 0.3259 0.3974
Ac 0.0207 0.7776 0.0414
Ac 0.6664 0.9832 0.3329
Ac 0.5900 0.4597 0.1800
Ac 0.8013 0.6741 0.6026
Al 0.5000 0.0000 0.0000

=====

[3]
VASP calculation (PBE) on a geometry-optimized Pm3Pr6DyHo2 structure.

Values from the calculation:
Mass density = 7.13 g/cm3
Symmetry = No. 12
Calculated total energy = -56.53 eV/cell

a b c (Å): 6.3478 6.3478 12.0146
angles (deg): 95.04 95.04 120.02
Sites, in units of the cell vectors:
Pr 0.5838 0.9173 0.7535
Pr 0.9173 0.5838 0.7535
Pr 0.4162 0.0827 0.2465
Pr 0.7493 0.7493 0.2465
Pr 0.0827 0.4162 0.2465
Pr 0.2507 0.2507 0.7535
Pm 0.8333 0.1667 0.5000
Pm 0.1667 0.8333 0.5000
Pm 0.5000 0.5000 0.5000
Ho 0.6667 0.3333 0.0000
Ho 0.3333 0.6667 0.0000
Dy 0.0000 0.0000 0.0000